# 1
Density functional theory data (PBE-GGA) for a relaxed SiSnMo3 crystal.

abc: 4.8757 4.8757 4.8757
angles: 90.00 90.00 90.00
Closest atoms and distances in Å follow each position.
Space group Pm-3m (No. 221)
Symmetry-distinct sites (fractional):
Si 0.0000 0.0000 0.0000 (multiplicity 1)  12 Mo 3.45
Sn 0.5000 0.5000 0.5000 (multiplicity 1)  6 Mo 2.44
Mo 0.0000 0.5000 0.5000 (multiplicity 3)  2 Sn 2.44

Properties
Magnetic moment (μB per formula unit): 0.00
Energy above the lowest structure with this stoichiometry (kJ/mol of formula units): 774
DOS(E_F) (states/eV/cell): 10.32
Formation energy from raw total energies (eV per atom): 2.372

---

# 2
Density functional theory data (PBE-GGA) for a relaxed Si2SnMo crystal.

abc: 5.9682 5.9682 11.3187
angles: 90.00 90.00 90.00
Closest atoms and distances in Å follow each position.
Space group I-42d (No. 122)
Symmetry-distinct sites (fractional):
Si 0.2137 0.2500 0.1250 (multiplicity 8)  2 Mo 2.42, 2 Sn 2.67
Sn 0.0000 0.0000 0.5000 (multiplicity 4)  4 Si 2.67
Mo 0.0000 0.0000 0.0000 (multiplicity 4)  4 Si 2.42

Properties
Magnetic moment (μB per formula unit): 0.78
DOS(E_F) (states/eV/cell): 12.06
Formation energy from raw total energies (eV per atom): 0.711

---

# 3
Density functional theory data (PBE-GGA) for a relaxed SiSn3Mo crystal.

abc: 5.1371 5.1371 5.1371
angles: 90.00 90.00 90.00
Closest atoms and distances in Å follow each position.
Space group Pm-3m (No. 221)
Symmetry-distinct sites (fractional):
Si 0.0000 0.0000 0.0000 (multiplicity 1)  6 Sn 2.57
Sn 0.0000 0.0000 0.5000 (multiplicity 3)  2 Si 2.57
Mo 0.5000 0.5000 0.5000 (multiplicity 1)  12 Sn 3.63

Properties
Magnetic moment (μB per formula unit): 3.99
Energy above the lowest structure with this stoichiometry (kJ/mol of formula units): 169
DOS(E_F) (states/eV/cell): 2.80
Formation energy from raw total energies (eV per atom): 1.133

---

# 4
Density functional theory data (PBE-GGA) for a relaxed SiSnMo3 crystal.

abc: 4.5308 4.5308 4.5308
angles: 90.00 90.00 90.00
Closest atoms and distances in Å follow each position.
Space group Pm-3m (No. 221)
Symmetry-distinct sites (fractional):
Si 0.0000 0.0000 0.0000 (multiplicity 1)  6 Mo 2.27
Sn 0.5000 0.5000 0.5000 (multiplicity 1)  12 Mo 3.20
Mo 0.0000 0.0000 0.5000 (multiplicity 3)  2 Si 2.27

Properties
Magnetic moment (μB per formula unit): 0.00
Energy above the lowest structure with this stoichiometry (kJ/mol of formula units): 0
DOS(E_F) (states/eV/cell): 6.82
Formation energy from raw total energies (eV per atom): 0.768

---

# 5
Density functional theory data (PBE-GGA) for a relaxed Si3SnMo crystal.

abc: 4.7951 4.7951 4.7951
angles: 90.00 90.00 90.00
Closest atoms and distances in Å follow each position.
Space group Pm-3m (No. 221)
Symmetry-distinct sites (fractional):
Si 0.0000 0.0000 0.5000 (multiplicity 3)  2 Mo 2.40
Sn 0.5000 0.5000 0.5000 (multiplicity 1)  12 Si 3.39
Mo 0.0000 0.0000 0.0000 (multiplicity 1)  6 Si 2.40

Properties
Magnetic moment (μB per formula unit): 0.00
Energy above the lowest structure with this stoichiometry (kJ/mol of formula units): 0
DOS(E_F) (states/eV/cell): 3.88
Formation energy from raw total energies (eV per atom): 0.559

---

# 6
Density functional theory data (PBE-GGA) for a relaxed SiSn2Mo crystal.

abc: 6.2719 6.2719 12.0832
angles: 90.00 90.00 90.00
Closest atoms and distances in Å follow each position.
Space group I-42d (No. 122)
Symmetry-distinct sites (fractional):
Si 0.0000 0.0000 0.0000 (multiplicity 4)  4 Sn 2.64
Sn 0.2375 0.2500 0.1250 (multiplicity 8)  2 Si 2.64, 2 Mo 2.73
Mo 0.0000 0.0000 0.5000 (multiplicity 4)  4 Sn 2.73

Properties
Magnetic moment (μB per formula unit): 2.00
DOS(E_F) (states/eV/cell): 0.59
Formation energy from raw total energies (eV per atom): 0.950

---

# 7
Density functional theory data (PBE-GGA) for a relaxed SiSn2Mo2 crystal.

abc: 6.6234 6.6234 4.2560
angles: 90.00 90.00 90.00
Closest atoms and distances in Å follow each position.
Space group P4/mbm (No. 127)
Symmetry-distinct sites (fractional):
Si 0.0000 0.0000 0.0000 (multiplicity 2)  4 Mo 2.52
Sn 0.1598 0.3402 0.5000 (multiplicity 4)  6 Mo 2.77-2.96, 1 Sn 2.99
Mo 0.1508 0.6508 0.0000 (multiplicity 4)  2 Si 2.52, 2 Sn 2.77

Properties
Magnetic moment (μB per formula unit): 0.00
DOS(E_F) (states/eV/cell): 9.51
Formation energy from raw total energies (eV per atom): 0.189

---

# 8
Density functional theory data (PBE-GGA) for a relaxed Si2SnTeMo crystal.

abc: 5.0580 5.0580 5.4080
angles: 90.00 90.00 90.00
Closest atoms and distances in Å follow each position.
Space group P4/mmm (No. 123)
Symmetry-distinct sites (fractional):
Si 0.0000 0.5000 0.0000 (multiplicity 2)  2 Sn 2.53
Sn 0.0000 0.0000 0.0000 (multiplicity 1)  4 Si 2.53, 2 Mo 2.70
Te 0.5000 0.5000 0.5000 (multiplicity 1)  4 Mo 3.58, 8 Si 3.70
Mo 0.0000 0.0000 0.5000 (multiplicity 1)  2 Sn 2.70

Properties
Magnetic moment (μB per formula unit): 3.66
DOS(E_F) (states/eV/cell): 3.93
Formation energy from raw total energies (eV per atom): 1.482

---

# 9
Density functional theory data (PBE-GGA) for a relaxed Sr2SiMo crystal.

abc: 11.4318 11.4318 4.8051
angles: 90.00 90.00 90.00
Closest atoms and distances in Å follow each position.
Space group I-42d (No. 122)
Symmetry-distinct sites (fractional):
Sr 0.0831 0.2500 0.1250 (multiplicity 8)  2 Si 3.07
Si 0.0000 0.0000 0.0000 (multiplicity 4)  2 Mo 2.40
Mo 0.0000 0.0000 0.5000 (multiplicity 4)  2 Si 2.40

Properties
Magnetic moment (μB per formula unit): 2.80
DOS(E_F) (states/eV/cell): 18.25
Formation energy from raw total energies (eV per atom): 0.551

---

# 10
Density functional theory data (PBE-GGA) for a relaxed SrSi2Mo crystal.

abc: 5.1726 5.1726 15.9551
angles: 90.00 90.00 90.00
Closest atoms and distances in Å follow each position.
Space group I4_1/amd (No. 141, origin choice 2)
Symmetry-distinct sites (fractional):
Sr 0.0000 0.2500 0.3750 (multiplicity 4)  8 Si 3.51, 4 Mo 3.66
Si 0.0000 0.0000 0.0000 (multiplicity 8)  2 Mo 2.38, 2 Si 2.59
Mo 0.0000 0.2500 0.8750 (multiplicity 4)  4 Si 2.38

Properties
Magnetic moment (μB per formula unit): 0.00
Energy above the lowest structure with this stoichiometry (kJ/mol of formula units): 105
DOS(E_F) (states/eV/cell): 6.31
Formation energy from raw total energies (eV per atom): 0.068

---

# 11
Density functional theory data (PBE-GGA) for a relaxed SrSi2Mo crystal.

abc: 6.6576 6.6576 6.6576
angles: 90.00 90.00 90.00
Closest atoms and distances in Å follow each position.
Space group F-43m (No. 216)
Symmetry-distinct sites (fractional):
Sr 0.0000 0.0000 0.0000 (multiplicity 4)  4 Mo 2.88, 4 Si 2.88
Si 0.0000 0.0000 0.5000 (multiplicity 4)  4 Si 2.88, 4 Mo 2.88
Si 0.2500 0.2500 0.2500 (multiplicity 4)  4 Sr 2.88, 4 Si 2.88
Mo 0.2500 0.2500 0.7500 (multiplicity 4)  4 Sr 2.88, 4 Si 2.88

Properties
Magnetic moment (μB per formula unit): 0.00
Energy above the lowest structure with this stoichiometry (kJ/mol of formula units): 388
DOS(E_F) (states/eV/cell): 15.77
Formation energy from raw total energies (eV per atom): 0.801

---

# 12
Density functional theory data (PBE-GGA) for a relaxed Sr4Si2Mo crystal.

abc: 6.1386 6.1386 14.5599
angles: 90.00 90.00 90.00
Closest atoms and distances in Å follow each position.
Space group I4/mmm (No. 139)
Symmetry-distinct sites (fractional):
Sr 0.0000 0.0000 0.2120 (multiplicity 4)  1 Si 3.03, 1 Mo 3.09
Sr 0.0000 0.5000 0.0000 (multiplicity 4)  2 Mo 3.07, 4 Si 3.28
Si 0.0000 0.0000 0.4200 (multiplicity 4)  1 Si 2.33
Mo 0.0000 0.0000 0.0000 (multiplicity 2)  6 Sr 3.07-3.09

Properties
Magnetic moment (μB per formula unit): 3.35
DOS(E_F) (states/eV/cell): 10.02
Formation energy from raw total energies (eV per atom): 0.573